This record from Alexandria via LeMat-Bulk describes a relaxed In3Re crystal. The functional is GGA-PBE.

Cell and atoms, written as CIF:
```
data_In3Re
_chemical_formula_sum 'In6 Re2'
_cell_length_a 3.2233
_cell_length_b 5.0549
_cell_length_c 10.7968
_cell_angle_alpha 90.00
_cell_angle_beta 90.00
_cell_angle_gamma 90.00
_space_group_name_H-M_alt 'C m m m'
_space_group_IT_number 65
_space_group_name_Hall '-C 2 2'
loop_
_atom_site_label
_atom_site_fract_x
_atom_site_fract_y
_atom_site_fract_z
_atom_site_occupancy
In1 0.0000 0.0000 0.0000 1
In2 0.0000 0.5000 0.2829 1
Re1 0.0000 0.0000 0.5000 1
```

Calculated values
D(E_F): 3.90 states/eV/cell
E_tot: -4.63 eV per atom